Record 1
Here is a geometry-optimized SrGa11Pd structure from Alexandria via LeMat-Bulk. Energies are from PBE.

Cell: 5.1449 8.2901 6.7758 Å, 83.21 67.69 71.86°
Closest atoms and distances in Å follow each position.
Sites, in units of the cell vectors:
Ga: 0.3726 0.6357 0.6451  1 Pd 2.75, 5 Ga 2.81-2.94
Ga: 0.6274 0.3643 0.3549  1 Pd 2.75, 5 Ga 2.81-2.94
Ga: 0.5106 0.7650 0.2189  7 Ga 2.74-2.94, 1 Pd 2.82
Ga: 0.4894 0.2350 0.7811  7 Ga 2.74-2.94, 1 Pd 2.82
Ga: 0.0000 0.0000 0.5000  6 Ga 2.57-2.87
Ga: 0.9823 0.3643 0.6451  1 Pd 2.75, 5 Ga 2.81-2.94
Ga: 0.0000 0.5000 0.0000  2 Pd 2.57, 8 Ga 2.80-2.82
Ga: 0.7295 0.7650 0.7811  7 Ga 2.74-2.94, 1 Pd 2.82
Ga: 0.2705 0.2350 0.2189  7 Ga 2.74-2.94, 1 Pd 2.82
Ga: 0.0177 0.6357 0.3549  1 Pd 2.75, 5 Ga 2.81-2.94
Ga: 0.5000 0.0000 0.5000  6 Ga 2.57-2.87
Sr: 0.0000 0.0000 0.0000  16 Ga 3.39-3.63
Pd: 0.5000 0.5000 0.0000  10 Ga 2.57-2.82

Results
N(E_F), states/eV per cell: 4.6
E_tot, eV per atom: -3.30


Record 2
Here is a geometry-optimized SrGa4Pd2 structure from Alexandria via LeMat-Bulk. Energies are from PBE.

Cell: 4.2532 7.3428 17.6083 Å, 90.00 90.00 90.00°
Closest atoms and distances in Å follow each position.
Sites, in units of the cell vectors:
Ga: 0.2500 0.2748 0.5443  3 Pd 2.60-2.84, 3 Ga 2.74-2.85
Ga: 0.2500 0.2349 0.2001  3 Pd 2.58-2.60, 2 Ga 2.74-2.84
Ga: 0.2500 0.4962 0.4050  4 Pd 2.51-2.63
Ga: 0.2500 0.6506 0.6879  4 Pd 2.57-2.72, 1 Ga 2.84
Ga: 0.7500 0.1506 0.8121  4 Pd 2.57-2.72, 1 Ga 2.84
Ga: 0.7500 0.7651 0.7999  3 Pd 2.58-2.60, 2 Ga 2.74-2.84
Ga: 0.7500 0.7252 0.4557  3 Pd 2.60-2.84, 3 Ga 2.74-2.85
Ga: 0.2500 0.8494 0.1879  4 Pd 2.57-2.72, 1 Ga 2.84
Ga: 0.2500 0.2651 0.7001  3 Pd 2.58-2.60, 2 Ga 2.74-2.84
Ga: 0.7500 0.5038 0.5950  4 Pd 2.51-2.63
Ga: 0.7500 0.7349 0.2999  3 Pd 2.58-2.60, 2 Ga 2.74-2.84
Ga: 0.2500 0.0038 0.9050  4 Pd 2.51-2.63
Ga: 0.7500 0.7748 0.9557  3 Pd 2.60-2.84, 3 Ga 2.74-2.85
Ga: 0.7500 0.9962 0.0950  4 Pd 2.51-2.63
Ga: 0.2500 0.2252 0.0443  3 Pd 2.60-2.84, 3 Ga 2.74-2.85
Ga: 0.7500 0.3494 0.3121  4 Pd 2.57-2.72, 1 Ga 2.84
Pd: 0.7500 0.4495 0.7360  7 Ga 2.51-2.72
Pd: 0.7500 0.0505 0.2360  7 Ga 2.51-2.72
Pd: 0.7500 0.3395 0.4636  7 Ga 2.60-2.84
Pd: 0.7500 0.1605 0.9636  7 Ga 2.60-2.84
Pd: 0.2500 0.8395 0.0364  7 Ga 2.60-2.84
Pd: 0.2500 0.6605 0.5364  7 Ga 2.60-2.84
Pd: 0.2500 0.9495 0.7640  7 Ga 2.51-2.72
Pd: 0.2500 0.5505 0.2640  7 Ga 2.51-2.72
Sr: 0.7500 0.5217 0.1166  10 Ga 3.30-3.67, 4 Pd 3.36-3.46
Sr: 0.2500 0.4783 0.8834  10 Ga 3.30-3.67, 4 Pd 3.36-3.46
Sr: 0.7500 0.9783 0.6166  10 Ga 3.30-3.67, 4 Pd 3.36-3.46
Sr: 0.2500 0.0217 0.3834  10 Ga 3.30-3.67, 4 Pd 3.36-3.46

Results
N(E_F), states/eV per cell: 9.0
Polymorph energy (0 for the lowest one), meV per atom: 0


Record 3
Here is a geometry-optimized SrGaPd3 structure from Alexandria via LeMat-Bulk. Energies are from PBE.

Cell: 5.3735 5.3735 9.1443 Å, 107.09 107.09 90.00°
Closest atoms and distances in Å follow each position.
Sites, in units of the cell vectors:
Sr: 0.8749 0.3749 0.7497  6 Pd 3.02-3.21
Sr: 0.6251 0.1251 0.2503  6 Pd 3.02-3.21
Pd: 0.2697 0.2697 0.5395  2 Ga 2.71, 2 Pd 2.82
Pd: 0.1342 0.8783 0.7566  2 Ga 2.45-2.51, 1 Pd 2.62
Pd: 0.1217 0.8658 0.2434  2 Ga 2.45-2.51, 1 Pd 2.62
Pd: 0.1217 0.3775 0.2434  2 Ga 2.45-2.51, 1 Pd 2.62
Pd: 0.6225 0.8783 0.7566  2 Ga 2.45-2.51, 1 Pd 2.62
Pd: 0.7303 0.7303 0.4605  2 Ga 2.71, 2 Pd 2.82
Ga: 0.2500 0.7500 0.5000  8 Pd 2.51-2.71
Ga: 0.0000 0.0000 0.0000  4 Pd 2.45

Results
N(E_F), states/eV per cell: 4.4
Polymorph energy (0 for the lowest one), meV per atom: 44


Record 4
Here is a geometry-optimized Sr4Ga3Pd structure from Alexandria via LeMat-Bulk. Energies are from PBE.

Cell: 4.7551 4.4539 11.6259 Å, 90.00 90.00 90.00°
Closest atoms and distances in Å follow each position.
Sites, in units of the cell vectors:
Sr: 0.0000 0.5000 0.8610  2 Pd 3.29, 5 Ga 3.41-3.50
Sr: 0.5000 0.0000 0.6416  7 Ga 3.36-3.55
Sr: 0.5000 0.5000 0.3536  6 Ga 3.38-3.40, 1 Pd 3.45
Sr: 0.0000 0.0000 0.1431  3 Ga 3.29-3.42, 4 Pd 3.41
Ga: 0.5000 0.0000 0.9469  2 Pd 2.57
Ga: 0.0000 0.5000 0.5598  2 Ga 2.64
Ga: 0.0000 0.0000 0.4374  2 Ga 2.64
Pd: 0.5000 0.5000 0.0567  2 Ga 2.57

Results
N(E_F), states/eV per cell: 6.3
E_tot, eV per atom: -3.10


Record 5
Here is a geometry-optimized SrGaPd3 structure from Alexandria via LeMat-Bulk. Energies are from PBE.

Cell: 4.7812 4.7812 4.7812 Å, 90.00 90.00 90.00°
Closest atoms and distances in Å follow each position.
Sites, in units of the cell vectors:
Pd: 0.0000 0.0000 0.5000  2 Ga 2.39
Pd: 0.0000 0.5000 0.0000  2 Ga 2.39
Pd: 0.5000 0.0000 0.0000  2 Ga 2.39
Ga: 0.0000 0.0000 0.0000  6 Pd 2.39
Sr: 0.5000 0.5000 0.5000  12 Pd 3.38

Results
N(E_F), states/eV per cell: 3.9
Polymorph energy (0 for the lowest one), meV per atom: 0


Record 6
Here is a geometry-optimized SrGa4Pd2 structure from Alexandria via LeMat-Bulk. Energies are from PBE.

Cell: 5.5639 5.5613 5.5613 Å, 75.51 59.98 59.98°
Closest atoms and distances in Å follow each position.
Sites, in units of the cell vectors:
Ga: 0.6922 0.0000 0.6157  2 Ga 2.62, 4 Pd 2.84
Ga: 0.3078 0.3843 0.0000  2 Ga 2.62, 4 Pd 2.84
Ga: 0.6922 0.6157 0.0000  2 Ga 2.62, 4 Pd 2.84
Ga: 0.3078 0.0000 0.3843  2 Ga 2.62, 4 Pd 2.84
Pd: 0.2500 0.5000 0.5000  2 Pd 2.78, 8 Ga 2.84
Pd: 0.7500 0.5000 0.5000  2 Pd 2.78, 8 Ga 2.84
Sr: 0.0000 0.0000 0.0000  4 Ga 2.96

Results
N(E_F), states/eV per cell: 2.6
Polymorph energy (0 for the lowest one), meV per atom: 163


Record 7
Here is a geometry-optimized Sr2Ga2Pd structure from Alexandria via LeMat-Bulk. Energies are from PBE.

Cell: 4.2779 4.2715 7.5831 Å, 106.36 90.00 90.00°
Closest atoms and distances in Å follow each position.
Sites, in units of the cell vectors:
Sr: 0.0000 0.6834 0.3668  4 Pd 3.20, 6 Ga 3.28-3.49
Sr: 0.0000 0.9327 0.8654  8 Ga 3.24-3.57, 2 Pd 3.36
Ga: 0.5000 0.3027 0.6053  1 Pd 2.79, 1 Ga 3.05
Ga: 0.5000 0.5122 0.0244  2 Pd 2.58
Pd: 0.5000 0.1111 0.2223  3 Ga 2.58-2.79

Results
N(E_F), states/eV per cell: 2.5
Polymorph energy (0 for the lowest one), meV per atom: 55


Record 8
Here is a geometry-optimized SrTbGaPd structure from Alexandria via LeMat-Bulk. Energies are from PBE.

Cell: 5.1945 5.1945 5.1945 Å, 60.00 60.00 60.00°
Closest atoms and distances in Å follow each position.
Sites, in units of the cell vectors:
Sr: 0.5000 0.5000 0.5000  4 Ga 3.18, 4 Pd 3.18
Ga: 0.2500 0.2500 0.2500  4 Tb 3.18, 4 Sr 3.18
Pd: 0.7500 0.7500 0.7500  4 Tb 3.18, 4 Sr 3.18
Tb: 0.0000 0.0000 0.0000  4 Pd 3.18, 4 Ga 3.18

Results
N(E_F), states/eV per cell: 3.1
E_tot, eV per atom: -4.12